(1)
Density functional theory data (PBE) for an optimized crystal structure of Cu2Ag3.

a b c (Å): 11.9366 2.8412 9.3173
angles (deg): 90.00 99.41 90.00
Space group C2/m (No. 12)
One atom of each set of equivalent atoms:
Cu  0.0438  0.0000  0.1310
Cu  0.1421  0.5000  0.9548
Ag  0.0511  0.5000  0.6687
Ag  0.1481  0.0000  0.4485
Ag  0.2414  0.5000  0.2273

Crystal system = monoclinic
VASP energy = -15.5 eV per formula unit
ΔE_f = 78 meV/atom

(2)
Density functional theory data (PBE) for an optimized crystal structure of LuGaCuAg.

a b c (Å): 6.6060 6.6060 6.6060
angles (deg): 90.00 90.00 90.00
Space group F-43m (No. 216)
One atom of each set of equivalent atoms:
Lu  0.0000  0.0000  0.0000
Ga  0.2500  0.2500  0.2500
Cu  0.0000  0.0000  0.5000
Ag  0.2500  0.2500  0.7500

Crystal system = cubic
VASP energy = -15.0 eV per formula unit

(3)
Density functional theory data (PBE) for an optimized crystal structure of Zr2TaCo2.

a b c (Å): 4.2548 4.2548 9.8190
angles (deg): 90.00 90.00 90.00
Space group I4/mmm (No. 139)
One atom of each set of equivalent atoms:
Zr  0.0000  0.5000  0.2500
Ta  0.0000  0.0000  0.0000
Co  0.0000  0.0000  0.3922

Crystal system = tetragonal
VASP energy = -41.9 eV per formula unit
ΔE_f = 255 meV/atom

Question: Which formula does entry 3 have?
Answer: Zr2TaCo2